Here is a geometry-optimized CeSiGeRh3 structure from Alexandria. Energies are from PBE-GGA.

POSCAR file:
```
CeSiGeRh3
1.0
2.842 -7.374 0.000
2.842 7.374 0.000
0.000 0.000 5.652
Ce Si Ge Rh
2 2 2 6
Direct
0.215 0.785 0.750
0.785 0.215 0.250
0.083 0.917 0.250
0.917 0.083 0.750
0.407 0.593 0.250
0.593 0.407 0.750
0.242 0.758 0.250
0.248 0.248 0.000
0.248 0.248 0.500
0.752 0.752 0.000
0.752 0.752 0.500
0.758 0.242 0.750
```

- Calculated total energy: -7.06 eV/atom
- Crystal system: orthorhombic

Here is a geometry-optimized CePrSm structure from Alexandria. Energies are from PBE-GGA.

POSCAR file:
```
CePrSm
1.0
-1.790 1.790 7.630
1.790 -1.790 7.630
1.790 1.790 -7.630
Ce Pr Sm
1 1 1
Direct
0.000 0.000 0.000
0.660 0.660 0.000
0.344 0.344 0.000
```

- Calculated total energy: -5.07 eV/atom
- Energy above the most stable polymorph in this dataset: 0 meV/atom
- Crystal system: tetragonal
- ΔE_f: 22 kJ/mol of formula units

Here is a geometry-optimized InCoSbPt2 structure from Alexandria. Energies are from PBE-GGA.

POSCAR file:
```
InCoSbPt2
1.0
4.703 0.000 0.000
0.000 4.703 0.000
0.000 0.000 4.744
In Co Sb Pt
1 1 1 2
Direct
0.000 0.000 0.000
0.000 0.000 0.500
0.500 0.500 0.000
0.000 0.500 0.500
0.500 0.000 0.500
```

- Calculated total energy: -4.70 eV/atom
- Crystal system: tetragonal

Here is a geometry-optimized AcAlGe4 structure from Alexandria. Energies are from PBE-GGA.

POSCAR file:
```
AcAlGe4
1.0
0.000 4.059 4.059
4.059 0.000 4.059
4.059 4.059 0.000
Ac Al Ge
1 1 4
Direct
0.000 0.000 0.000
0.750 0.750 0.750
0.376 0.376 0.376
0.376 0.376 0.871
0.376 0.871 0.376
0.871 0.376 0.376
```

- Calculated total energy: -4.50 eV/atom
- Crystal system: cubic
- ΔE_f: -66 kJ/mol of formula units

Here is a geometry-optimized HfTi2CrGe structure from Alexandria. Energies are from PBE-GGA.

POSCAR file:
```
HfTi2CrGe
1.0
4.612 0.000 0.000
0.000 4.612 0.000
0.000 0.000 4.930
Hf Ti Cr Ge
1 2 1 1
Direct
0.000 0.000 0.000
0.000 0.500 0.500
0.500 0.000 0.500
0.500 0.500 0.000
0.000 0.000 0.500
```

- Calculated total energy: -7.08 eV/atom
- Crystal system: tetragonal
- ΔE_f: 440 kJ/mol of formula units

Here is a geometry-optimized PrSnCl structure from Alexandria. Energies are from PBE-GGA.

POSCAR file:
```
PrSnCl
1.0
8.857 5.113 2.297
-8.857 5.113 2.297
0.000 -10.227 2.297
Pr Sn Cl
6 6 6
Direct
0.261 0.695 0.324
0.305 0.676 0.739
0.324 0.261 0.695
0.676 0.739 0.305
0.695 0.324 0.261
0.739 0.305 0.676
0.080 0.809 0.537
0.191 0.463 0.920
0.463 0.920 0.191
0.537 0.080 0.809
0.809 0.537 0.080
0.920 0.191 0.463
0.138 0.414 0.328
0.328 0.138 0.414
0.414 0.328 0.138
0.586 0.672 0.862
0.672 0.862 0.586
0.862 0.586 0.672
```

- Calculated total energy: -4.71 eV/atom
- Crystal system: trigonal

Here is a geometry-optimized Ac2GeO structure from Alexandria. Energies are from PBE-GGA.

POSCAR file:
```
Ac2GeO
1.0
7.265 0.000 0.000
-3.632 6.291 0.000
0.000 0.000 8.183
Ac Ge O
6 3 3
Direct
0.104 0.409 0.388
0.305 0.896 0.054
0.409 0.104 0.612
0.591 0.695 0.721
0.695 0.591 0.279
0.896 0.305 0.946
0.000 0.645 0.667
0.355 0.355 0.000
0.645 0.000 0.333
0.000 0.575 0.167
0.425 0.425 0.500
0.575 0.000 0.833
```

- Calculated total energy: -6.18 eV/atom
- Energy above the most stable polymorph in this dataset: 22 meV/atom
- Crystal system: trigonal

Here is a geometry-optimized Zr2PbW structure from Alexandria. Energies are from PBE-GGA.

POSCAR file:
```
Zr2PbW
1.0
3.042 0.000 0.000
0.000 3.042 0.000
0.000 0.000 9.452
Zr Pb W
2 1 1
Direct
0.000 0.000 0.000
0.500 0.500 0.255
0.000 0.000 0.526
0.500 0.500 0.765
```

- Calculated total energy: -7.95 eV/atom
- Crystal system: tetragonal
- ΔE_f: 187 kJ/mol of formula units

Here is a geometry-optimized BaSi3Sn structure from Alexandria. Energies are from PBE-GGA.

POSCAR file:
```
BaSi3Sn
1.0
5.279 0.000 0.000
0.000 5.279 0.000
0.000 0.000 5.279
Ba Si Sn
1 3 1
Direct
0.000 0.000 0.000
0.000 0.500 0.500
0.500 0.000 0.500
0.500 0.500 0.000
0.500 0.500 0.500
```

- Calculated total energy: -3.85 eV/atom
- Energy above the most stable polymorph in this dataset: 0 meV/atom
- Crystal system: cubic

Here is a geometry-optimized AuSe2Br structure from Alexandria. Energies are from PBE-GGA.

POSCAR file:
```
AuSe2Br
1.0
1.518 0.877 12.408
-1.518 0.877 12.408
0.000 -1.753 12.408
Au Se Br
1 2 1
Direct
0.000 0.000 0.000
0.067 0.067 0.067
0.933 0.933 0.933
0.500 0.500 0.500
```

- Calculated total energy: -2.72 eV/atom
- Crystal system: trigonal

Here is a geometry-optimized K3Sm2TlO6 structure from Alexandria. Energies are from PBE-GGA.

POSCAR file:
```
K3Sm2TlO6
1.0
3.075 -5.325 0.000
3.075 5.325 0.000
-2.041 0.000 6.308
K Sm Tl O
3 2 1 6
Direct
0.000 0.000 0.000
0.338 0.662 0.000
0.662 0.338 0.000
0.167 0.833 0.500
0.833 0.167 0.500
0.500 0.500 0.500
0.099 0.435 0.305
0.228 0.228 0.694
0.435 0.099 0.305
0.565 0.901 0.695
0.772 0.772 0.306
0.901 0.565 0.695
```

- Calculated total energy: -5.84 eV/atom
- Crystal system: monoclinic

Here is a geometry-optimized NdSmPdRh structure from Alexandria. Energies are from PBE-GGA.

POSCAR file:
```
NdSmPdRh
1.0
0.000 3.559 3.559
3.559 0.000 3.559
3.559 3.559 0.000
Nd Sm Pd Rh
1 1 1 1
Direct
0.000 0.000 0.000
0.500 0.500 0.500
0.750 0.750 0.750
0.250 0.250 0.250
```

- Calculated total energy: -6.24 eV/atom
- Energy above the most stable polymorph in this dataset: 45 meV/atom
- Crystal system: cubic
- ΔE_f: -282 kJ/mol of formula units

Here is a geometry-optimized Y4Pd2Ru structure from Alexandria. Energies are from PBE-GGA.

POSCAR file:
```
Y4Pd2Ru
1.0
2.446 1.412 8.057
-2.446 1.412 8.057
0.000 -2.824 8.057
Y Pd Ru
4 2 1
Direct
0.122 0.122 0.122
0.373 0.373 0.373
0.627 0.627 0.627
0.878 0.878 0.878
0.250 0.250 0.250
0.750 0.750 0.750
0.000 0.000 0.000
```

- Calculated total energy: -7.10 eV/atom
- Crystal system: trigonal
- ΔE_f: -405 kJ/mol of formula units

Here is a geometry-optimized Li3GaIr structure from Alexandria. Energies are from PBE-GGA.

POSCAR file:
```
Li3GaIr
1.0
2.822 -4.539 0.000
2.822 4.539 0.000
-1.434 0.000 6.427
Li Ga Ir
6 2 2
Direct
0.063 0.560 0.298
0.075 0.075 0.338
0.440 0.937 0.702
0.560 0.063 0.298
0.925 0.925 0.662
0.937 0.440 0.702
0.265 0.265 0.996
0.735 0.735 0.004
0.432 0.432 0.670
0.568 0.568 0.330
```

- Calculated total energy: -3.74 eV/atom
- Energy above the most stable polymorph in this dataset: 75 meV/atom
- Crystal system: monoclinic
- ΔE_f: -101 kJ/mol of formula units